The following is a PBE calculation of a relaxed structure of AgGePO, from the Open Quantum Materials Database.

Cell: 3.6726 8.0091 4.9011 Å, 90.00 90.00 90.00°
Space group Pmc2_1 (No. 26)
Symmetry-distinct sites (fractional):
Ag  0.0000  0.1203  0.0000 (multiplicity 2)
Ge  0.5000  0.3736  0.5829 (multiplicity 2)
P  0.0000  0.2103  0.4955 (multiplicity 2)
O  0.5000  0.4196  0.9448 (multiplicity 2)

Values from the calculation:
Distance to the lowest polymorph of the same formula (meV per atom): 0.0
Theoretical density (g/cm³): 5.24
VASP energy (eV per cell): -39.609